[1]
PmSmDy2Sc after structural relaxation. Source: Alexandria, functional PBE.

Lattice parameters (Å, degrees): 7.100 8.242 7.003 126.05 90.00 90.00
Element x y z (fractional)
Sc: 0.250 0.998 0.997
Sc: 0.750 0.002 0.003
Dy: 0.500 0.697 0.000
Dy: 0.500 0.303 0.000
Dy: 0.000 0.303 0.000
Dy: 0.000 0.697 0.000
Sm: 0.750 0.734 0.468
Sm: 0.250 0.266 0.532
Pm: 0.750 0.268 0.536
Pm: 0.250 0.732 0.464

Summary:
E_tot ... -4.68 eV/atom
DOS at the Fermi energy ... 1.182 states/eV per atom
Formation energy ... 0.325 eV per atom

[2]
PaBiSe after structural relaxation. Source: Alexandria, functional PBE.

Lattice parameters (Å, degrees): 4.289 4.289 9.276 103.37 103.37 90.00
Element x y z (fractional)
Pa: 0.653 0.653 0.306
Pa: 0.347 0.347 0.694
Se: 0.181 0.181 0.363
Se: 0.819 0.819 0.637
Bi: 0.000 0.500 0.000
Bi: 0.500 0.000 0.000

Summary:
E_tot ... -6.34 eV/atom
DOS at the Fermi energy ... 1.666 states/eV per atom
ΔE_f (raw) ... -721.0 meV/atom

[3]
Al5Au3 after structural relaxation. Source: Alexandria, functional PBE.

Lattice parameters (Å, degrees): 7.365 7.365 7.473 77.26 77.26 125.53
Element x y z (fractional)
Al: 0.163 0.870 0.862
Al: 0.340 0.840 0.495
Al: 0.370 0.663 0.862
Al: 0.867 0.729 0.296
Al: 0.025 0.158 0.710
Al: 0.828 0.328 0.508
Al: 0.229 0.367 0.296
Al: 0.658 0.525 0.710
Al: 0.522 0.229 0.134
Al: 0.729 0.022 0.134
Au: 0.704 0.702 0.006
Au: 0.752 0.933 0.495
Au: 0.433 0.252 0.495
Au: 0.245 0.745 0.180
Au: 0.202 0.204 0.006
Au: 0.934 0.434 0.814

Summary:
E_tot ... -3.84 eV/atom
DOS at the Fermi energy ... 0.288 states/eV per atom
Formation energy ... -0.276 eV per atom

[4]
Rb2Ga2Sb2Se after structural relaxation. Source: Alexandria, functional PBE.

Lattice parameters (Å, degrees): 4.436 8.270 8.929 52.87 89.99 74.43
Element x y z (fractional)
Ga: 0.811 0.378 0.684
Ga: 0.189 0.622 0.316
Rb: 0.561 0.878 0.799
Rb: 0.439 0.122 0.201
Sb: 0.194 0.611 0.634
Sb: 0.806 0.389 0.366
Se: 0.000 0.000 0.000

Summary:
E_tot ... -3.33 eV/atom
DOS at the Fermi energy ... 0.100 states/eV per atom
ΔE_f (raw) ... -508.2 meV/atom

[5]
KAc2Pb after structural relaxation. Source: Alexandria, functional PBE.

Lattice parameters (Å, degrees): 5.104 5.547 5.547 90.00 90.00 90.00
Element x y z (fractional)
Ac: 0.000 0.500 0.000
Ac: 0.000 0.000 0.500
Pb: 0.500 0.500 0.500
K: 0.500 0.000 0.000

Summary:
E_tot ... -3.30 eV/atom
DOS at the Fermi energy ... 1.045 states/eV per atom
Formation energy ... -0.045 eV per atom